[1]
Material: K2Zn
Method: DFT, PBE
State: optimized geometry Values from VASP.

Output
Space group: No. 227
Offset from the most stable computed form (meV/atom): 315
Energy relative to the elements (eV/atom): 0.398

Quantum ESPRESSO input file:
```
&SYSTEM
  ibrav = 0, nat = 6, ntyp = 2
/
ATOMIC_SPECIES
Zn 65.41 Zn.upf
K 39.10 K.upf
CELL_PARAMETERS angstrom
-1.9419 -3.1245 7.0320
-6.1939 2.8737 4.0447
-6.6140 -4.3248 0.7302
ATOMIC_POSITIONS angstrom
Zn -7.3749 -2.2878 5.9034
K -1.8437 -0.5720 1.4759
K -5.1507 -2.7344 1.8409
K -4.9406 0.8649 3.4982
Zn -11.0623 -3.4317 8.8552
K -2.8147 -2.1342 4.9919
```

[2]
Material: Pm2ErIn2Rh5
Method: DFT, PBE
State: optimized geometry Values from VASP.

Output
Space group: No. 127
Energy relative to the elements (eV/atom): -0.537

Quantum ESPRESSO input file:
```
&SYSTEM
  ibrav = 0, nat = 20, ntyp = 4
/
ATOMIC_SPECIES
Pm 145.00 Pm.upf
Rh 102.91 Rh.upf
In 114.82 In.upf
Er 167.26 Er.upf
CELL_PARAMETERS angstrom
-3.1695 -1.2047 1.5388
3.0186 -9.8703 -1.5099
4.5676 -0.0378 9.3783
ATOMIC_POSITIONS angstrom
Pm 2.0204 -1.6908 2.8378
Pm 5.5658 -8.2174 5.0305
Rh 1.1013 -4.9364 2.9087
Rh 0.6990 -0.6212 5.4585
In 4.3336 -8.6239 2.1744
In 3.2525 -1.2842 5.6939
Er 3.7931 -4.9541 3.9342
Rh 2.2503 -1.2449 8.1654
Rh 2.1664 -9.8679 1.2417
Rh 3.3154 -6.1764 6.4984
Rh -0.0754 -5.5375 0.0144
Pm 2.7992 -6.6199 0.5829
In 1.7071 -3.6795 0.6355
Rh 1.8839 -3.5711 5.5895
Er 0.0000 0.0000 0.0000
Rh 2.5328 -7.5417 3.8176
Rh -0.6935 -2.5923 1.0472
In 5.8791 -6.2286 7.2328
Pm 4.7870 -3.2882 7.2854
Rh 5.1102 -8.5205 8.3599
```

[3]
Material: MgHg2Cl
Method: DFT, PBE
State: optimized geometry Values from VASP.

Output
Space group: No. 123
Offset from the most stable computed form (meV/atom): 294
ΔE_f (raw) (meV per atom): -311

Quantum ESPRESSO input file:
```
&SYSTEM
  ibrav = 0, nat = 4, ntyp = 3
/
ATOMIC_SPECIES
Mg 24.30 Mg.upf
Hg 200.59 Hg.upf
Cl 35.45 Cl.upf
CELL_PARAMETERS angstrom
-0.4223 3.0170 1.7830
-0.8912 -1.8293 2.8843
7.3047 -0.2265 2.1133
ATOMIC_POSITIONS angstrom
Mg 1.1694 0.5372 2.8620
Hg 0.1224 -0.0038 0.0354
Cl 4.8218 0.4240 3.9186
Hg 3.5300 -0.1095 1.0212
```

[4]
Material: BaCrSi
Method: DFT, PBE
State: optimized geometry Values from VASP.

Output
Space group: No. 216
ΔE_f (raw) (meV per atom): 549

Quantum ESPRESSO input file:
```
&SYSTEM
  ibrav = 0, nat = 3, ntyp = 3
/
ATOMIC_SPECIES
Cr 52.00 Cr.upf
Ba 137.33 Ba.upf
Si 28.09 Si.upf
CELL_PARAMETERS angstrom
4.9254 0.0000 0.0000
2.4627 4.2655 0.0000
2.4627 1.4218 4.0216
ATOMIC_POSITIONS angstrom
Cr 7.3881 4.2655 3.0162
Ba 4.9254 2.8437 2.0108
Si 0.0000 0.0000 0.0000
```

[5]
Material: BeVGe
Method: DFT, PBE
State: optimized geometry Values from VASP.

Output
Space group: No. 12
Energy relative to the elements (eV/atom): -0.109

Quantum ESPRESSO input file:
```
&SYSTEM
  ibrav = 0, nat = 6, ntyp = 3
/
ATOMIC_SPECIES
Ge 72.64 Ge.upf
V 50.94 V.upf
Be 9.01 Be.upf
CELL_PARAMETERS angstrom
4.7026 -0.4050 -0.3894
-1.0246 3.2949 -0.3588
-1.9077 -1.8398 5.3333
ATOMIC_POSITIONS angstrom
Ge -1.5177 -0.0887 3.5196
V 0.8626 -1.1205 4.0140
Be 0.0000 0.0000 0.0000
Be 0.8851 0.5251 2.2925
V 0.9076 2.1707 0.5711
Ge 3.2880 1.1389 1.0655
```

[6]
Material: HoMgTlSn
Method: DFT, PBE
State: optimized geometry Values from VASP.

Output
Space group: No. 47
Offset from the most stable computed form (meV/atom): 0
Energy relative to the elements (eV/atom): -0.377

Quantum ESPRESSO input file:
```
&SYSTEM
  ibrav = 0, nat = 4, ntyp = 4
/
ATOMIC_SPECIES
Sn 118.71 Sn.upf
Ho 164.93 Ho.upf
Mg 24.30 Mg.upf
Tl 204.38 Tl.upf
CELL_PARAMETERS angstrom
4.3864 0.0000 0.0000
0.0000 4.8918 0.0000
0.0000 0.0000 4.6624
ATOMIC_POSITIONS angstrom
Sn 0.0000 2.4459 2.3312
Ho 2.1932 2.4459 0.0000
Mg 2.1932 0.0000 2.3312
Tl 0.0000 0.0000 0.0000
```

[7]
Material: Ba2ZrSe
Method: DFT, PBE
State: optimized geometry Values from VASP.

Output
Space group: No. 166
ΔE_f (raw) (meV per atom): -306

Quantum ESPRESSO input file:
```
&SYSTEM
  ibrav = 0, nat = 4, ntyp = 3
/
ATOMIC_SPECIES
Zr 91.22 Zr.upf
Ba 137.33 Ba.upf
Se 78.96 Se.upf
CELL_PARAMETERS angstrom
-0.9398 9.5289 4.3782
-3.8043 7.3295 6.5313
0.2395 7.2024 7.6760
ATOMIC_POSITIONS angstrom
Zr -3.3784 18.0456 13.9391
Ba -2.3198 12.3911 9.5713
Ba -4.4370 23.7001 18.3068
Se -1.1261 6.0152 4.6464
```

[8]
Material: BeSi2Ru
Method: DFT, PBE
State: optimized geometry Values from VASP.

Output
Space group: No. 6
ΔE_f (raw) (meV per atom): -205

Quantum ESPRESSO input file:
```
&SYSTEM
  ibrav = 0, nat = 4, ntyp = 3
/
ATOMIC_SPECIES
Si 28.09 Si.upf
Be 9.01 Be.upf
Ru 101.07 Ru.upf
CELL_PARAMETERS angstrom
-2.8802 -0.9880 2.3157
-1.5145 -0.9837 -2.3035
1.0704 -4.5320 -0.6022
ATOMIC_POSITIONS angstrom
Si -0.4364 -5.2818 -2.7964
Be -0.5774 -2.7859 -1.9068
Si -1.5148 -2.2043 0.3352
Ru -1.4618 -4.5052 -0.5806
```